# 1
# NaSmSnO3

An optimized crystal structure of NaSmSnO3 (PBE, Alexandria via LeMat-Bulk).

Results
D(E_F) ... 0.00 states/eV/f.u.
V ... 222.66 Å³ per cell
SG ... P2_1/m, No. 11
Raw formation energy ... -2.184 eV per atom

```
12
Lattice="6.7756 0.0000 0.0000 0.0000 3.4838 0.0000 -3.0842 0.0000 9.4328" Properties=species:S:1:pos:R:3 pbc="T T T"
Na -0.7319 0.8709 3.6211
Na 4.4234 2.6128 5.8117
Sm 1.0949 2.6128 6.0669
Sm 2.5966 0.8709 3.3660
Sn -0.9306 0.8709 8.4353
Sn 4.6220 2.6128 0.9975
O -0.5341 0.8709 6.1534
O 1.0757 2.6128 3.7267
O 0.4200 2.6128 8.3660
O 3.2714 0.8709 1.0669
O 2.6157 0.8709 5.7061
O 4.2255 2.6128 3.2795
```

=====

# 2
# Dy8HgOs2

An optimized crystal structure of Dy8HgOs2 (PBE, Alexandria via LeMat-Bulk).

Results
D(E_F) ... 10.20 states/eV/f.u.
V ... 302.95 Å³ per cell
SG ... Cm, No. 8
E_form ... -0.2010 eV/atom

```
11
Lattice="4.3615 -6.4873 0.0000 4.3615 6.4873 0.0000 -1.3181 0.0000 5.3535" Properties=species:S:1:pos:R:3 pbc="T T T"
Dy 0.0000 0.0000 0.0000
Dy 0.7808 1.7307 3.2946
Dy 3.0452 3.1826 1.0716
Dy 0.7808 -1.7307 3.2946
Dy 3.9972 1.7284 4.1999
Dy 3.0452 -3.1826 1.0716
Dy 3.9972 -1.7284 4.1999
Dy 6.1102 0.0000 2.1486
Hg 3.0598 0.0000 1.0624
Os 2.3909 4.0757 3.7514
Os 2.3909 -4.0757 3.7514
```

=====

# 3
# CrTe2I

An optimized crystal structure of CrTe2I (PBE, Alexandria via LeMat-Bulk).

Results
D(E_F) ... 3.02 states/eV/f.u.
ΔE to the lowest computed polymorph ... 3.140 eV per formula unit
V ... 109.94 Å³ per cell
SG ... P4/mmm, No. 123
Raw formation energy ... 0.572 eV per atom

```
4
Lattice="5.6474 0.0000 0.0000 0.0000 5.6474 0.0000 0.0000 0.0000 3.4472" Properties=species:S:1:pos:R:3 pbc="T T T"
Cr 0.0000 0.0000 0.0000
Te 0.0000 2.8237 1.7236
Te 2.8237 0.0000 1.7236
I 2.8237 2.8237 0.0000
```

=====

# 4
# Ac2Nd3Ge4

An optimized crystal structure of Ac2Nd3Ge4 (PBE, Alexandria via LeMat-Bulk).

Results
D(E_F) ... 7.49 states/eV/f.u.
V ... 518.89 Å³ per cell
SG ... P2_1/c, No. 14
E_form ... -0.7902 eV/atom

```
18
Lattice="8.1518 0.0000 0.0000 0.0000 8.2870 0.0000 -2.3822 0.0000 7.6811" Properties=species:S:1:pos:R:3 pbc="T T T"
Ac 1.4282 1.4553 0.6075
Ac 0.2372 2.6881 4.4480
Ac 5.5325 5.5988 3.2331
Ac 4.3414 6.8316 7.0736
Nd 1.3903 5.5855 1.9991
Nd 0.1992 6.8450 5.8397
Nd 2.8848 0.0000 3.8406
Nd 4.0759 4.1435 0.0000
Nd 5.5705 1.4420 1.8414
Nd 4.3794 2.7015 5.6820
Ge -1.4219 4.4328 6.7359
Ge -0.2309 7.9977 2.8953
Ge 1.9666 1.0913 6.6380
Ge 3.1577 3.0522 2.7974
Ge 2.6120 5.2348 4.8837
Ge 3.8031 7.1957 1.0431
Ge 6.0005 0.2893 4.7858
Ge 7.1916 3.8542 0.9453
```

=====

# 5
# Mo2PbW2

An optimized crystal structure of Mo2PbW2 (PBE, Alexandria via LeMat-Bulk).

Results
D(E_F) ... 2.76 states/eV/f.u.
ΔE to the lowest computed polymorph ... 0.083 eV per formula unit
V ... 101.76 Å³ per cell
SG ... I4/mmm, No. 139
E_form ... 0.7417 eV/atom

```
5
Lattice="-2.0886 2.0886 5.8320 2.0886 -2.0886 5.8320 2.0886 2.0886 -5.8320" Properties=species:S:1:pos:R:3 pbc="T T T"
Mo 0.0000 0.0000 1.3870
Mo 0.0000 0.0000 10.2770
Pb 0.0000 0.0000 5.8320
W 2.0886 0.0000 2.9160
W 0.0000 2.0886 2.9160
```

=====

# 6
# Zn4Au5

An optimized crystal structure of Zn4Au5 (PBE, Alexandria via LeMat-Bulk).

Results
D(E_F) ... 1.07 states/eV/f.u.
ΔE to the lowest computed polymorph ... 0.000 eV per formula unit
V ... 299.35 Å³ per cell
SG ... P6_3/mcm, No. 193
E_form ... -0.1852 eV/atom

```
18
Lattice="7.8716 0.0000 0.0000 -3.9358 6.8170 0.0000 0.0000 0.0000 5.5785" Properties=species:S:1:pos:R:3 pbc="T T T"
Zn 0.0000 0.0000 0.0000
Zn 0.0000 0.0000 2.7892
Zn -1.4400 2.4941 1.3946
Zn -2.4959 4.3229 4.1839
Zn 2.8799 0.0000 1.3946
Zn 1.4400 2.4941 4.1839
Zn 4.9917 0.0000 4.1839
Zn 2.4959 4.3229 1.3946
Au -1.1689 2.0246 4.1839
Au -2.7669 4.7924 1.3946
Au 2.3378 0.0000 4.1839
Au 1.1689 2.0246 1.3946
Au 0.0000 4.5447 0.0000
Au 0.0000 4.5447 2.7892
Au 3.9358 2.2723 0.0000
Au 3.9358 2.2723 2.7892
Au 5.5338 0.0000 1.3946
Au 2.7669 4.7924 4.1839
```

=====

# 7
# CaSc3As

An optimized crystal structure of CaSc3As (PBE, Alexandria via LeMat-Bulk).

Results
D(E_F) ... 5.97 states/eV/f.u.
ΔE to the lowest computed polymorph ... 0.000 eV per formula unit
V ... 141.37 Å³ per cell
SG ... Pm-3m, No. 221
E_form ... -0.2947 eV/atom

```
5
Lattice="5.2094 0.0000 0.0000 0.0000 5.2094 0.0000 0.0000 0.0000 5.2094" Properties=species:S:1:pos:R:3 pbc="T T T"
Ca 0.0000 0.0000 0.0000
Sc 0.0000 2.6047 2.6047
Sc 2.6047 0.0000 2.6047
Sc 2.6047 2.6047 0.0000
As 2.6047 2.6047 2.6047
```

=====

# 8
# Dy4GeAuSe2

An optimized crystal structure of Dy4GeAuSe2 (PBE, Alexandria via LeMat-Bulk).

Results
D(E_F) ... 6.20 states/eV/f.u.
V ... 199.90 Å³ per cell
SG ... I-4m2, No. 119
Raw formation energy ... -1.289 eV per atom

```
8
Lattice="-2.9261 2.9261 5.8366 2.9261 -2.9261 5.8366 2.9261 2.9261 -5.8366" Properties=species:S:1:pos:R:3 pbc="T T T"
Dy 0.0000 0.0000 2.8694
Dy 0.0000 2.9261 0.0274
Dy 0.0000 0.0000 8.8038
Dy 0.0000 2.9261 5.8092
Ge 0.0000 2.9261 2.9183
Au 0.0000 0.0000 5.8366
Se 0.0000 0.0000 0.0000
Se 2.9261 0.0000 2.9183
```